First-principles (PBE-GGA) data for an optimized crystal structure of YScTlS, as listed in the Alexandria database.

a b c (Å): 3.6973 3.7004 8.2164
angles (deg): 89.98 77.07 60.06
With the nearest neighbours (Å) after each atom.
Space group P1 (No. 1)
Symmetry-distinct sites (fractional):
Y1 0.0000 0.0000 0.0000 (multiplicity 1)  3 S 2.70
Sc1 0.4101 0.7948 0.3864 (multiplicity 1)  3 S 2.56-2.57
Tl1 0.8757 0.5636 0.6841 (multiplicity 1)  3 Sc 3.18-3.20, 3 Y 3.29-3.30
S1 0.1958 0.4020 0.2074 (multiplicity 1)  3 Sc 2.56-2.57, 3 Y 2.70

Values from the calculation:
Raw formation energy = -1.105 eV per atom
Total DFT energy (no corrections) = -23.708 eV per cell
M_tot = 0.00 μB/cell

First-principles (PBE-GGA) data for an optimized crystal structure of ScTlZnS3, as listed in the Alexandria database.

a b c (Å): 8.5840 3.8358 9.4086
angles (deg): 90.00 110.12 90.00
With the nearest neighbours (Å) after each atom.
Space group P2_1/m (No. 11)
Symmetry-distinct sites (fractional):
Sc1 0.1689 0.2500 0.1347 (multiplicity 2)  6 S 2.53-2.79
Tl1 0.2817 0.7500 0.7741 (multiplicity 2)  5 S 3.16-3.36
Zn1 0.4166 0.7500 0.3884 (multiplicity 2)  4 S 2.31-2.44
S1 0.0293 0.2500 0.8502 (multiplicity 2)  3 Sc 2.53-2.60
S2 0.2916 0.2500 0.4507 (multiplicity 2)  3 Zn 2.37-2.44
S3 0.3770 0.7500 0.1324 (multiplicity 2)  1 Zn 2.31

Values from the calculation:
Raw formation energy = -1.137 eV per atom
Total DFT energy (no corrections) = -58.351 eV per cell
M_tot = 0.00 μB/cell

First-principles (PBE-GGA) data for an optimized crystal structure of ZrSc3Tl4S8, as listed in the Alexandria database.

a b c (Å): 12.9685 7.4787 9.0194
angles (deg): 90.00 118.96 90.00
With the nearest neighbours (Å) after each atom.
Space group C2/m (No. 12)
Symmetry-distinct sites (fractional):
Zr1 0.0000 0.0000 0.0000 (multiplicity 2)  6 S 2.59
Sc1 0.0000 0.5000 0.0000 (multiplicity 2)  6 S 2.59-2.60
Sc2 0.2500 0.2500 0.0000 (multiplicity 4)  6 S 2.59-2.60
Tl1 0.0000 0.0000 0.5000 (multiplicity 2)  6 S 3.31
Tl2 0.0000 0.5000 0.5000 (multiplicity 2)  6 S 3.30-3.32
Tl3 0.2500 0.2500 0.5000 (multiplicity 4)  6 S 3.29-3.33
S1 0.0212 0.2484 0.8171 (multiplicity 8)  1 Zr 2.59, 2 Sc 2.60
S2 0.2271 0.0000 0.1829 (multiplicity 4)  1 Zr 2.59, 2 Sc 2.60
S3 0.2275 0.5000 0.1806 (multiplicity 4)  3 Sc 2.59

Values from the calculation:
Raw formation energy = -1.302 eV per atom
Total DFT energy (no corrections) = -181.704 eV per cell
M_tot = 0.00 μB/cell

First-principles (PBE-GGA) data for an optimized crystal structure of ZrSc3Tl3S8, as listed in the Alexandria database.

a b c (Å): 7.5278 7.5278 22.6920
angles (deg): 90.00 90.00 120.00
With the nearest neighbours (Å) after each atom.
Space group R-3m (No. 166, hexagonal axes)
Symmetry-distinct sites (fractional):
Zr1 0.0000 0.0000 0.0000 (multiplicity 3)  6 S 2.60
Sc1 0.0000 0.5000 0.0000 (multiplicity 9)  6 S 2.59-2.61
Tl1 0.0000 0.5000 0.5000 (multiplicity 9)  6 S 3.20-3.21
S1 0.0000 0.0000 0.2709 (multiplicity 6)  3 Sc 2.59
S2 0.0013 0.5007 0.7298 (multiplicity 18)  1 Zr 2.60, 2 Sc 2.61

Values from the calculation:
Raw formation energy = -1.420 eV per atom
Total DFT energy (no corrections) = -266.879 eV per cell
M_tot = 0.00 μB/cell